The following is a PBE calculation of crystalline TbHoGe4Pd2 at its relaxed geometry, from OQMD via LeMat-Bulk.

a = 4.3553 Å, b = 9.2369 Å, c = 9.2369 Å
α = 25.16°, β = 90.00°, γ = 90.00°
Last column: nearest neighbours and their distance in Å.
Sites, in units of the cell vectors:
1 Tb 0.0000 0.0000 0.0000  4 Pd 3.19, 10 Ge 3.19-3.50
2 Ho 0.5000 0.2065 0.2065  10 Ge 3.18-3.50, 4 Pd 3.19
3 Ge 0.0000 0.3585 0.3585  4 Pd 2.55-2.57
4 Ge 0.0000 0.6373 0.6373  1 Pd 2.43, 2 Ge 2.50
5 Ge 0.5000 0.5698 0.5698  1 Pd 2.43, 2 Ge 2.50
6 Ge 0.5000 0.8477 0.8477  4 Pd 2.55-2.57
7 Pd 0.0000 0.7719 0.7719  5 Ge 2.43-2.57
8 Pd 0.5000 0.4347 0.4347  5 Ge 2.43-2.57

Results
V (Å³ per cell): 158.00
Space group: Amm2, No. 38
Magnetization (μB/atom): 0.002

The following is a PBE calculation of crystalline ThHgBi at its relaxed geometry, from OQMD via LeMat-Bulk.

a = 5.2798 Å, b = 5.2798 Å, c = 5.2798 Å
α = 60.00°, β = 60.00°, γ = 60.00°
Last column: nearest neighbours and their distance in Å.
Sites, in units of the cell vectors:
1 Th 0.0000 0.0000 0.0000  4 Hg 3.23, 4 Bi 3.23
2 Hg 0.2500 0.2500 0.2500  4 Th 3.23
3 Bi 0.7500 0.7500 0.7500  4 Th 3.23

Results
V (Å³ per cell): 104.07
Space group: F-43m, No. 216
Magnetization (μB/atom): 0.005

The following is a PBE calculation of crystalline LaDySi2Au2 at its relaxed geometry, from OQMD via LeMat-Bulk.

a = 4.3751 Å, b = 4.3751 Å, c = 7.9400 Å
α = 90.00°, β = 90.00°, γ = 120.00°
Last column: nearest neighbours and their distance in Å.
Sites, in units of the cell vectors:
1 La 0.0000 0.0000 0.0000  6 Si 3.15-3.39, 6 Au 3.28-3.38
2 Dy 0.0000 0.0000 0.4950  6 Au 3.04-3.17, 6 Si 3.07-3.26
3 Si 0.3333 0.6667 0.2360  3 Au 2.55
4 Si 0.6667 0.3333 0.7146  3 Au 2.53
5 Au 0.3333 0.6667 0.7366  3 Si 2.53
6 Au 0.6667 0.3333 0.2824  3 Si 2.55

Results
V (Å³ per cell): 131.62
Space group: P3m1, No. 156
Magnetization (μB/atom): 0.001

The following is a PBE calculation of crystalline RbLaCdS3 at its relaxed geometry, from OQMD via LeMat-Bulk.

a = 8.4020 Å, b = 4.3136 Å, c = 10.6526 Å
α = 90.00°, β = 106.70°, γ = 90.00°
Last column: nearest neighbours and their distance in Å.
Sites, in units of the cell vectors:
1 Rb 0.2350 0.2500 0.2202  6 S 3.36-3.76
2 Rb 0.7650 0.7500 0.7798  6 S 3.36-3.76
3 La 0.1945 0.7500 0.6300  5 S 2.81-2.90
4 La 0.8055 0.2500 0.3700  5 S 2.81-2.90
5 Cd 0.4170 0.2500 0.8899  4 S 2.51-2.69
6 Cd 0.5830 0.7500 0.1101  4 S 2.51-2.69
7 S 0.0305 0.7500 0.3601  3 La 2.81-2.89
8 S 0.2753 0.7500 0.9416  3 Cd 2.60-2.69
9 S 0.4333 0.2500 0.6586  1 Cd 2.51
10 S 0.5667 0.7500 0.3414  1 Cd 2.51
11 S 0.7247 0.2500 0.0584  3 Cd 2.60-2.69
12 S 0.9695 0.2500 0.6399  3 La 2.81-2.89

Results
V (Å³ per cell): 369.80
Space group: P2_1/m, No. 11
Magnetization (μB/atom): 0.000

The following is a PBE calculation of crystalline HfMgTcBi at its relaxed geometry, from OQMD via LeMat-Bulk.

a = 4.8104 Å, b = 4.8104 Å, c = 4.8104 Å
α = 60.00°, β = 60.00°, γ = 60.00°
Last column: nearest neighbours and their distance in Å.
Sites, in units of the cell vectors:
1 Hf 0.0000 0.0000 0.0000  4 Bi 2.95, 4 Mg 2.95
2 Mg 0.2500 0.2500 0.2500  4 Hf 2.95, 4 Tc 2.95
3 Tc 0.5000 0.5000 0.5000  4 Bi 2.95, 4 Mg 2.95
4 Bi 0.7500 0.7500 0.7500  4 Hf 2.95, 4 Tc 2.95

Results
V (Å³ per cell): 78.71
Space group: F-43m, No. 216
Magnetization (μB/atom): 0.000

The following is a PBE calculation of crystalline RbFeSnSe3 at its relaxed geometry, from OQMD via LeMat-Bulk.

a = 7.9052 Å, b = 7.9052 Å, c = 11.4441 Å
α = 90.00°, β = 90.00°, γ = 149.18°
Last column: nearest neighbours and their distance in Å.
Sites, in units of the cell vectors:
1 Rb 0.2358 0.7642 0.7500  6 Se 3.58-3.62, 2 Fe 3.93
2 Rb 0.7642 0.2358 0.2500  6 Se 3.58-3.62, 2 Fe 3.93
3 Fe 0.0466 0.9534 0.2500  4 Se 2.36-2.53
4 Fe 0.9534 0.0466 0.7500  4 Se 2.36-2.53
5 Sn 0.5000 0.5000 0.0000  6 Se 2.94-2.95
6 Sn 0.5000 0.5000 0.5000  6 Se 2.94-2.95
7 Se 0.1247 0.8753 0.0718  1 Fe 2.36
8 Se 0.1247 0.8753 0.4282  1 Fe 2.36
9 Se 0.4547 0.5453 0.2500  2 Fe 2.53
10 Se 0.5453 0.4547 0.7500  2 Fe 2.53
11 Se 0.8753 0.1247 0.5718  1 Fe 2.36
12 Se 0.8753 0.1247 0.9282  1 Fe 2.36

Results
V (Å³ per cell): 366.39
Space group: Cmcm, No. 63
Magnetization (μB/atom): 0.743

The following is a PBE calculation of crystalline Ir2S3 at its relaxed geometry, from OQMD via LeMat-Bulk.

a = 11.6090 Å, b = 11.0534 Å, c = 6.1422 Å
α = 79.33°, β = 69.34°, γ = 31.33°
Last column: nearest neighbours and their distance in Å.
Sites, in units of the cell vectors:
1 Ir 0.0417 0.0417 0.2083  6 S 2.32-2.47
2 Ir 0.1319 0.1319 0.6181  6 S 2.34-2.52
3 Ir 0.2083 0.2083 0.0417  6 S 2.32-2.47
4 Ir 0.3819 0.3819 0.8681  6 S 2.34-2.52
5 Ir 0.6181 0.6181 0.1319  6 S 2.34-2.52
6 Ir 0.7917 0.7917 0.9583  6 S 2.32-2.47
7 Ir 0.8681 0.8681 0.3819  6 S 2.34-2.52
8 Ir 0.9583 0.9583 0.7917  6 S 2.32-2.47
9 S 0.0619 0.5366 0.1567  4 Ir 2.34-2.47
10 S 0.0915 0.6585 0.6585  4 Ir 2.32-2.52
11 S 0.1567 0.7448 0.0619  4 Ir 2.34-2.47
12 S 0.2552 0.8433 0.4634  4 Ir 2.34-2.47
13 S 0.3415 0.9085 0.9085  4 Ir 2.32-2.52
14 S 0.4634 0.9381 0.2552  4 Ir 2.34-2.47
15 S 0.5366 0.0619 0.7448  4 Ir 2.34-2.47
16 S 0.6585 0.0915 0.0915  4 Ir 2.32-2.52
17 S 0.7448 0.1567 0.5366  4 Ir 2.34-2.47
18 S 0.8433 0.2552 0.9381  4 Ir 2.34-2.47
19 S 0.9085 0.3415 0.3415  4 Ir 2.32-2.52
20 S 0.9381 0.4634 0.8433  4 Ir 2.34-2.47

Results
V (Å³ per cell): 372.33
Space group: Fddd, No. 70
Magnetization (μB/atom): 0.000

The following is a PBE calculation of crystalline PrZrAg at its relaxed geometry, from OQMD via LeMat-Bulk.

a = 4.8894 Å, b = 4.8894 Å, c = 4.8894 Å
α = 60.00°, β = 60.00°, γ = 60.00°
Last column: nearest neighbours and their distance in Å.
Sites, in units of the cell vectors:
1 Pr 0.0000 0.0000 0.0000  4 Zr 2.99, 4 Ag 2.99
2 Zr 0.2500 0.2500 0.2500  4 Pr 2.99
3 Ag 0.7500 0.7500 0.7500  4 Pr 2.99

Results
V (Å³ per cell): 82.65
Space group: F-43m, No. 216
Magnetization (μB/atom): 0.005

The following is a PBE calculation of crystalline ZrScCO at its relaxed geometry, from OQMD via LeMat-Bulk.

a = 11.4832 Å, b = 11.4832 Å, c = 11.4832 Å
α = 16.78°, β = 16.78°, γ = 16.78°
Last column: nearest neighbours and their distance in Å.
Sites, in units of the cell vectors:
1 Zr 0.2409 0.2409 0.2409  1 O 2.15, 3 C 2.22
2 Zr 0.7591 0.7591 0.7591  1 O 2.15, 3 C 2.22
3 Sc 0.0000 0.0000 0.0000  6 O 2.18
4 Sc 0.5000 0.5000 0.5000  6 C 2.40
5 C 0.1246 0.1246 0.1246  3 Zr 2.22, 3 Sc 2.40
6 C 0.8754 0.8754 0.8754  3 Zr 2.22, 3 Sc 2.40
7 O 0.3040 0.3040 0.3040  1 Zr 2.15, 3 Sc 2.18
8 O 0.6960 0.6960 0.6960  1 Zr 2.15, 3 Sc 2.18

Results
V (Å³ per cell): 110.07
Space group: R-3m, No. 166
Magnetization (μB/atom): 0.045

The following is a PBE calculation of crystalline Li4AlBiPd2 at its relaxed geometry, from OQMD via LeMat-Bulk.

a = 4.3986 Å, b = 4.3986 Å, c = 6.4547 Å
α = 90.00°, β = 90.00°, γ = 90.00°
Last column: nearest neighbours and their distance in Å.
Sites, in units of the cell vectors:
1 Li 0.0000 0.0000 0.0000  4 Pd 2.60, 4 Li 2.65
2 Li 0.0000 0.5000 0.2295  4 Li 2.65-2.81, 2 Al 2.65, 2 Bi 2.81, 1 Pd 2.88
3 Li 0.5000 0.0000 0.7705  4 Li 2.65-2.81, 2 Al 2.65, 2 Bi 2.81, 1 Pd 2.88
4 Li 0.5000 0.5000 0.5000  4 Li 2.81, 4 Pd 2.86, 4 Bi 3.11
5 Al 0.5000 0.5000 0.0000  4 Pd 2.60, 4 Li 2.65
6 Bi 0.0000 0.0000 0.5000  8 Li 2.81-3.11, 4 Pd 2.86
7 Pd 0.0000 0.5000 0.7837  2 Al 2.60, 5 Li 2.60-2.88, 2 Bi 2.86
8 Pd 0.5000 0.0000 0.2163  2 Al 2.60, 5 Li 2.60-2.88, 2 Bi 2.86

Results
V (Å³ per cell): 124.88
Space group: P-4m2, No. 115

| no. | E_tot (eV/atom) |
| --- | --- |
| 1 | -5.475 |
| 2 | -4.047 |
| 3 | -5.328 |
| 4 | -4.626 |
| 5 | -6.150 |
| 6 | -4.504 |
| 7 | -6.184 |
| 8 | -4.461 |
| 9 | -8.999 |
| 10 | -3.749 |